No. 1
## BaMn2Sb (PBE)

Data for a geometry-optimized BaMn2Sb structure.

Computed properties:
As for the calculated volume: 26.372 Å³/atom. As for the space-group type: P4/mmm.

Unit cell a=4.5562 b=4.8117 c=4.8117 alpha=90.00 beta=90.00 gamma=90.00
Last column: magnetic moment on the atom in μB.
Sites, in units of the cell vectors:
Mn1 0.0000 0.0000 0.0000  4.01
Mn2 0.0000 0.5000 0.5000  4.01
Sb1 0.5000 0.5000 0.0000  -0.03
Ba1 0.5000 0.0000 0.5000  -0.03

No. 2
## BaMn2Sb (PBE)

Data for a geometry-optimized BaMn2Sb structure.

Computed properties:
As for the calculated volume: 25.142 Å³/atom. As for the space-group type: Imm2.

Unit cell a=6.3436 b=6.3436 c=6.3436 alpha=149.45 beta=128.56 gamma=61.02
Last column: magnetic moment on the atom in μB.
Sites, in units of the cell vectors:
Mn1 0.9490 0.9490 0.0000  3.87
Mn2 0.7452 0.2452 0.5000  3.23
Sb1 0.5451 0.5451 0.0000  -0.05
Ba1 0.2607 0.7607 0.5000  -0.13

No. 3
## BaMnSb2 (PBE)

Data for a geometry-optimized BaMnSb2 structure.

Computed properties:
As for the calculated volume: 29.678 Å³/atom. As for the space-group type: Cmmm.

Unit cell a=3.9273 b=3.9273 c=8.1178 alpha=90.00 beta=90.00 gamma=108.54
Last column: magnetic moment on the atom in μB.
Sites, in units of the cell vectors:
Ba1 0.5000 0.5000 0.2500  0.01
Mn1 0.5000 0.5000 0.7500  3.73
Sb1 0.0000 0.0000 0.5571  -0.09
Sb2 0.0000 0.0000 0.9429  -0.09

No. 4
## Ba4MnSb4 (PBE)

Data for a geometry-optimized Ba4MnSb4 structure.

Computed properties:
As for the calculated volume: 40.434 Å³/atom. As for the space-group type: P4_2/nmc.

Unit cell a=7.2439 b=10.0236 c=10.0236 alpha=90.00 beta=90.00 gamma=90.00
Last column: magnetic moment on the atom in μB.
Sites, in units of the cell vectors:
Sb1 0.3070 0.5003 0.7240  -0.10
Sb2 0.1930 0.0003 0.2240  -0.10
Sb3 0.6930 0.2760 0.5003  -0.10
Sb4 0.8070 0.2240 0.9997  -0.10
Sb5 0.3070 0.4997 0.2760  -0.10
Sb6 0.1930 0.9997 0.7760  -0.10
Sb7 0.8070 0.7760 0.0003  -0.10
Sb8 0.6930 0.7240 0.4997  -0.10
Ba1 0.1861 0.7686 0.4997  0.01
Ba2 0.1861 0.2314 0.5003  0.01
Ba3 0.8139 0.5003 0.7686  0.01
Ba4 0.3139 0.7314 0.0003  0.01
Ba5 0.3139 0.2686 0.9997  0.01
Ba6 0.8139 0.4997 0.2314  0.01
Ba7 0.6861 0.0003 0.2686  0.01
Ba8 0.6861 0.9997 0.7314  0.01
Mn1 0.0000 0.0000 0.0000  3.36
Mn2 0.5000 0.5000 0.5000  3.36

No. 5
## BaMnSb2 (PBE)

Data for a geometry-optimized BaMnSb2 structure.

Computed properties:
As for the calculated volume: 30.358 Å³/atom. As for the space-group type: Imm2.

Unit cell a=8.2052 b=8.2052 c=8.2052 alpha=152.33 beta=151.69 gamma=40.00
Last column: magnetic moment on the atom in μB.
Sites, in units of the cell vectors:
Sb1 0.0841 0.0841 0.0000  -0.12
Sb2 0.7604 0.2604 0.5000  -0.15
Ba1 0.4489 0.4489 0.0000  -0.03
Mn1 0.2065 0.7065 0.5000  3.56

No. 6
## BaMnSb2 (PBE)

Data for a geometry-optimized BaMnSb2 structure.

Computed properties:
As for the calculated volume: 30.958 Å³/atom. As for the space-group type: I4/mmm.

Unit cell a=12.7045 b=12.7045 c=12.7045 alpha=159.66 beta=159.66 gamma=28.92
Last column: magnetic moment on the atom in μB.
Sites, in units of the cell vectors:
Mn1 0.7500 0.2500 0.5000  3.77
Mn2 0.2500 0.7500 0.5000  3.77
Sb1 0.5000 0.0000 0.5000  0.00
Sb2 0.3145 0.3145 0.0000  -0.05
Sb3 0.6855 0.6855 0.0000  -0.05
Sb4 0.0000 0.5000 0.5000  0.00
Ba1 0.8855 0.8855 0.0000  0.03
Ba2 0.1145 0.1145 0.0000  0.03

No. 7
## BaMn2Sb (PBE)

Data for a geometry-optimized BaMn2Sb structure.

Computed properties:
As for the calculated volume: 25.493 Å³/atom. As for the space-group type: P4/mmm.

Unit cell a=3.6983 b=3.6983 c=7.4553 alpha=90.00 beta=90.00 gamma=90.01
Last column: magnetic moment on the atom in μB.
Sites, in units of the cell vectors:
Mn1 0.0000 0.0000 0.0777  3.59
Mn2 0.0000 0.0000 0.4223  3.59
Ba1 0.5000 0.5000 0.7500  -0.07
Sb1 0.5000 0.5000 0.2500  -0.11

No. 8
## BaMn2Sb (PBE)

Data for a geometry-optimized BaMn2Sb structure.

Computed properties:
As for the calculated volume: 28.327 Å³/atom. As for the space-group type: Pm.

Unit cell a=4.0513 b=4.0539 c=6.8992 alpha=90.14 beta=90.00 gamma=90.00
Last column: magnetic moment on the atom in μB.
Sites, in units of the cell vectors:
Mn1 0.0000 0.8740 0.1704  3.72
Mn2 0.5000 0.3743 0.1704  3.72
Ba1 0.5000 0.8765 0.7239  0.02
Sb1 0.0000 0.3752 0.4354  -0.09

No. 9
## BaMn2Sb (PBE)

Data for a geometry-optimized BaMn2Sb structure.

Computed properties:
As for the calculated volume: 26.337 Å³/atom. As for the space-group type: R-3m.

Unit cell a=4.5919 b=4.5919 c=6.3489 alpha=68.83 beta=68.83 gamma=59.97
Last column: magnetic moment on the atom in μB.
Sites, in units of the cell vectors:
Sb1 0.2500 0.2500 0.2500  -0.05
Ba1 0.7500 0.7500 0.7500  -0.04
Mn1 0.5574 0.5574 0.3274  3.19
Mn2 0.9426 0.9426 0.1726  3.19

No. 10
## BaMnSb2 (PBE)

Data for a geometry-optimized BaMnSb2 structure.

Computed properties:
As for the calculated volume: 29.602 Å³/atom. As for the space-group type: I-4m2.

Unit cell a=6.3213 b=6.3213 c=6.3213 alpha=136.44 beta=136.44 gamma=63.30
Last column: magnetic moment on the atom in μB.
Sites, in units of the cell vectors:
Mn1 0.7500 0.2500 0.5000  4.20
Sb1 0.2500 0.7500 0.5000  -0.04
Sb2 0.0000 0.0000 0.0000  -0.05
Ba1 0.5000 0.5000 0.0000  -0.01

No. 11
## BaMn2Sb (PBE)

Data for a geometry-optimized BaMn2Sb structure.

Computed properties:
As for the calculated volume: 24.915 Å³/atom. As for the space-group type: P4mm.

Unit cell a=3.5855 b=3.5855 c=7.7523 alpha=90.00 beta=90.00 gamma=90.00
Last column: magnetic moment on the atom in μB.
Sites, in units of the cell vectors:
Mn1 0.0000 0.0000 0.0756  3.71
Mn2 0.5000 0.5000 0.2467  3.42
Sb1 0.0000 0.0000 0.4187  -0.12
Ba1 0.5000 0.5000 0.7590  0.01

No. 12
## BaMnSb2 (PBE)

Data for a geometry-optimized BaMnSb2 structure.

Computed properties:
As for the calculated volume: 28.721 Å³/atom. As for the space-group type: P4/mmm.

Unit cell a=3.9188 b=3.9188 c=7.4809 alpha=90.00 beta=90.00 gamma=90.00
Last column: magnetic moment on the atom in μB.
Sites, in units of the cell vectors:
Ba1 0.5000 0.5000 0.2500  0.03
Sb1 0.0000 0.0000 0.9421  -0.05
Sb2 0.0000 0.0000 0.5579  -0.05
Mn1 0.5000 0.5000 0.7500  4.02

No. 13
## Ba3MnSb (PBE)

Data for a geometry-optimized Ba3MnSb structure.

Computed properties:
As for the calculated volume: 40.082 Å³/atom. The value obtained for the energy above the most stable polymorph in this dataset is 0.0 meV/atom. As for the space-group type: Pm-3m.

Unit cell a=5.8520 b=5.8520 c=5.8520 alpha=90.00 beta=90.00 gamma=90.00
Last column: magnetic moment on the atom in μB.
Sites, in units of the cell vectors:
Ba1 0.5000 0.0000 0.0000  -0.05
Ba2 0.0000 0.0000 0.5000  -0.12
Ba3 0.0000 0.5000 0.0000  -0.07
Sb1 0.5000 0.5000 0.5000  0.02
Mn1 0.0000 0.0000 0.0000  2.81

No. 14
## BaMnSb2 (PBE)

Data for a geometry-optimized BaMnSb2 structure.

Computed properties:
As for the calculated volume: 29.413 Å³/atom. As for the space-group type: F-43m.

Unit cell a=5.5001 b=5.5001 c=5.5001 alpha=60.00 beta=60.00 gamma=60.00
Last column: magnetic moment on the atom in μB.
Sites, in units of the cell vectors:
Ba1 0.5000 0.5000 0.5000  -0.01
Sb1 0.0000 0.0000 0.0000  -0.08
Sb2 0.2500 0.2500 0.2500  -0.06
Mn1 0.7500 0.7500 0.7500  4.08

No. 15
## BaMn2Sb (PBE)

Data for a geometry-optimized BaMn2Sb structure.

Computed properties:
As for the calculated volume: 27.205 Å³/atom. As for the space-group type: P2/m.

Unit cell a=4.7442 b=3.5685 c=6.5182 alpha=80.43 beta=90.00 gamma=90.00
Last column: magnetic moment on the atom in μB.
Sites, in units of the cell vectors:
Sb1 0.5000 0.2500 0.2500  -0.04
Mn1 0.0000 0.0618 0.0840  3.77
Mn2 0.0000 0.4382 0.4160  3.77
Ba1 0.5000 0.7500 0.7500  0.00

No. 16
## BaMnSb2 (PBE)

Data for a geometry-optimized BaMnSb2 structure.

Computed properties:
As for the calculated volume: 25.711 Å³/atom. As for the space-group type: Fm-3m.

Unit cell a=5.2590 b=5.2590 c=5.2590 alpha=60.00 beta=60.00 gamma=60.00
Sites, in units of the cell vectors:
Ba1 0.5000 0.5000 0.5000
Mn1 0.0000 0.0000 0.0000
Sb1 0.2500 0.2500 0.2500
Sb2 0.7500 0.7500 0.7500

No. 17
## BaMn2Sb (PBE)

Data for a geometry-optimized BaMn2Sb structure.

Computed properties:
As for the calculated volume: 30.531 Å³/atom. As for the space-group type: I4_1/amd.

Unit cell a=5.1309 b=5.1309 c=9.9620 alpha=75.08 beta=75.08 gamma=90.00
Last column: magnetic moment on the atom in μB.
Sites, in units of the cell vectors:
Mn1 0.8750 0.6248 0.7500  3.44
Mn2 0.3748 0.1250 0.2500  3.27
Mn3 0.3750 0.6252 0.7500  3.44
Mn4 0.3752 0.6250 0.2500  3.27
Sb1 0.5000 0.5000 0.0000  -0.07
Sb2 0.2500 0.7500 0.5000  -0.07
Ba1 0.0000 0.0000 0.0000  -0.06
Ba2 0.7500 0.2500 0.5000  -0.06

No. 18
## BaMnSb2 (PBE)

Data for a geometry-optimized BaMnSb2 structure.

Computed properties:
As for the calculated volume: 34.352 Å³/atom. As for the space-group type: I-42d.

Unit cell a=5.9425 b=5.9425 c=8.8441 alpha=70.37 beta=70.37 gamma=90.00
Sites, in units of the cell vectors:
Sb1 0.3750 0.5906 0.7500
Sb2 0.8750 0.6594 0.7500
Sb3 0.4094 0.1250 0.2500
Sb4 0.3406 0.6250 0.2500
Ba1 0.0000 0.0000 0.0000
Ba2 0.7500 0.2500 0.5000
Mn1 0.2500 0.7500 0.5000
Mn2 0.5000 0.5000 0.0000

No. 19
## BaMn2Sb (PBE)

Data for a geometry-optimized BaMn2Sb structure.

Computed properties:
As for the calculated volume: 26.213 Å³/atom. As for the space-group type: Immm.

Unit cell a=5.2997 b=5.2997 c=5.2997 alpha=125.49 beta=113.06 gamma=91.59
Last column: magnetic moment on the atom in μB.
Sites, in units of the cell vectors:
Ba1 0.2500 0.7500 0.5000  -0.01
Mn1 0.9289 0.9289 0.0000  3.62
Mn2 0.5711 0.5711 0.0000  3.62
Sb1 0.7500 0.2500 0.5000  -0.04

No. 20
## BaMnSb (PBE)

Data for a geometry-optimized BaMnSb structure.

Computed properties:
As for the calculated volume: 30.831 Å³/atom. As for the space-group type: F-43m.

Unit cell a=5.0762 b=5.0762 c=5.0762 alpha=60.00 beta=60.00 gamma=60.00
Last column: magnetic moment on the atom in μB.
Sites, in units of the cell vectors:
Ba1 0.5000 0.5000 0.5000  0.04
Sb1 0.0000 0.0000 0.0000  -0.03
Mn1 0.7500 0.7500 0.7500  3.76

No. 21
## BaMnSb2 (PBE)

Data for a geometry-optimized BaMnSb2 structure.

Computed properties:
As for the calculated volume: 29.465 Å³/atom. As for the space-group type: P4/mmm.

Unit cell a=5.0229 b=5.0229 c=4.6715 alpha=90.00 beta=90.00 gamma=89.98
Last column: magnetic moment on the atom in μB.
Sites, in units of the cell vectors:
Sb1 0.5000 0.5000 0.0000  0.00
Sb2 0.0000 0.0000 0.0000  0.00
Ba1 0.5000 0.0000 0.5000  0.03
Mn1 0.0000 0.5000 0.5000  4.26

No. 22
## BaMnSb2 (PBE)

Data for a geometry-optimized BaMnSb2 structure.

Computed properties:
As for the calculated volume: 29.780 Å³/atom. As for the space-group type: R3m.

Unit cell a=4.3169 b=4.3169 c=7.7850 alpha=73.93 beta=73.93 gamma=60.06
Last column: magnetic moment on the atom in μB.
Sites, in units of the cell vectors:
Sb1 0.7217 0.7217 0.8355  -0.13
Sb2 0.9442 0.9442 0.1674  -0.12
Mn1 0.3306 0.3306 0.0084  3.28
Ba1 0.5035 0.5035 0.4887  -0.05

No. 23
## BaMn2Sb (PBE)

Data for a geometry-optimized BaMn2Sb structure.

Computed properties:
As for the calculated volume: 26.491 Å³/atom. As for the space-group type: C2/m.

Unit cell a=5.9508 b=6.2755 c=3.3635 alpha=75.48 beta=87.92 gamma=117.67
Last column: magnetic moment on the atom in μB.
Sites, in units of the cell vectors:
Sb1 0.0000 0.5000 0.5000  -0.01
Mn1 0.5000 0.0000 0.5000  3.97
Mn2 0.0000 0.0000 0.0000  3.97
Ba1 0.5000 0.5000 0.0000  -0.07

No. 24
## BaMnSb2 (PBE)

Data for a geometry-optimized BaMnSb2 structure.

Computed properties:
As for the calculated volume: 30.835 Å³/atom. As for the space-group type: P4mm.

Unit cell a=3.9607 b=3.9606 c=7.8627 alpha=90.00 beta=90.00 gamma=90.00
Last column: magnetic moment on the atom in μB.
Sites, in units of the cell vectors:
Mn1 0.5000 0.5000 0.8790  3.67
Ba1 0.0000 0.0000 0.4781  -0.01
Sb1 0.0000 0.0000 0.9262  -0.11
Sb2 0.5000 0.5000 0.2167  -0.06

No. 25
## BaMnSb (PBE)

Data for a geometry-optimized BaMnSb structure.

Computed properties:
As for the calculated volume: 32.144 Å³/atom. As for the space-group type: P-6m2.

Unit cell a=4.7318 b=4.7318 c=4.9731 alpha=90.00 beta=90.00 gamma=120.00
Last column: magnetic moment on the atom in μB.
Sites, in units of the cell vectors:
Ba1 0.0000 0.0000 0.9999  -0.05
Mn1 0.3333 0.6667 0.5000  3.86
Sb1 0.6667 0.3333 0.5002  -0.01

No. 26
## BaMnSb2 (PBE)

Data for a geometry-optimized BaMnSb2 structure.

Computed properties:
As for the calculated volume: 32.056 Å³/atom. As for the space-group type: Immm.

Unit cell a=5.8420 b=5.8420 c=5.8420 alpha=134.75 beta=108.26 gamma=89.01
Last column: magnetic moment on the atom in μB.
Sites, in units of the cell vectors:
Mn1 0.2500 0.7500 0.5000  3.69
Ba1 0.7500 0.2500 0.5000  -0.03
Sb1 0.0651 0.0651 0.0000  -0.09
Sb2 0.4349 0.4349 0.0000  -0.09

No. 27
## Ba4MnSb (PBE)

Data for a geometry-optimized Ba4MnSb structure.

Computed properties:
As for the calculated volume: 43.893 Å³/atom. As for the space-group type: F-43m.

Unit cell a=7.1948 b=7.1948 c=7.1948 alpha=60.00 beta=60.00 gamma=60.00
Last column: magnetic moment on the atom in μB.
Sites, in units of the cell vectors:
Ba1 0.8776 0.3741 0.3741  -0.13
Ba2 0.3741 0.8776 0.3741  -0.13
Ba3 0.3741 0.3741 0.8776  -0.13
Ba4 0.3741 0.3741 0.3741  -0.13
Mn1 0.7500 0.7500 0.7500  4.24
Sb1 0.0000 0.0000 0.0000  0.03

No. 28
## BaMn2Sb (PBE)

Data for a geometry-optimized BaMn2Sb structure.

Computed properties:
As for the calculated volume: 26.103 Å³/atom. As for the space-group type: R3m.

Unit cell a=4.3611 b=4.3611 c=6.8218 alpha=71.34 beta=71.34 gamma=59.99
Last column: magnetic moment on the atom in μB.
Sites, in units of the cell vectors:
Mn1 0.9452 0.9452 0.1643  3.25
Mn2 0.2677 0.2677 0.1970  -3.08
Sb1 0.5432 0.5432 0.3705  0.01
Ba1 0.7438 0.7438 0.7682  0.01

No. 29
## BaMn2Sb (PBE)

Data for a geometry-optimized BaMn2Sb structure.

Computed properties:
As for the calculated volume: 26.644 Å³/atom. As for the space-group type: F-43m.

Unit cell a=5.3218 b=5.3218 c=5.3218 alpha=60.00 beta=60.00 gamma=60.00
Last column: magnetic moment on the atom in μB.
Sites, in units of the cell vectors:
Sb1 0.7500 0.7500 0.7500  0.02
Ba1 0.5000 0.5000 0.5000  0.00
Mn1 0.0000 0.0000 0.0000  4.00
Mn2 0.2500 0.2500 0.2500  4.06

Short version: raw formation energy = 1.77, 1.72, -0.74, -7.13, -0.74, -1.79, 1.48, 0.91, 0.43, -0.02, 0.94, -0.58, 0.40, 0.58, 1.43, 1.72, 0.97, -0.12, 1.55, -0.17, -0.20, -1.50, 2.35, -0.30, -1.15, -1.08, 2.98, -0.44, 1.89 eV per formula unit, in the order given.